Density functional theory data (PBE-GGA) for Sm5Dy2Cd4 after structural relaxation.

Lattice parameters (Å, degrees): 3.5267 8.1497 13.1755 118.52 97.69 90.00
Fractional positions:
Dy: 0.4214 0.5164 0.8428
Sm: 0.8607 0.7573 0.7215
Cd: 0.9536 0.2424 0.9072
Cd: 0.0464 0.7576 0.0928
Dy: 0.5786 0.4836 0.1572
Cd: 0.7244 0.6185 0.4487
Sm: 0.1393 0.2427 0.2785
Cd: 0.2756 0.3815 0.5513
Sm: 0.8151 0.1291 0.6302
Sm: 0.1849 0.8709 0.3698
Sm: 0.5000 0.0000 0.0000

Energy of formation: -0.0724 eV per atom
Final energy: -3.39 eV per atom
Crystal system: monoclinic
M_tot: 0.00 μB/f.u.
DOS at the Fermi energy: 1.225 states/eV/atom

---

Density functional theory data (PBE-GGA) for Sm3DyCd3 after structural relaxation.

Lattice parameters (Å, degrees): 7.6325 7.6325 7.1016 90.01 90.01 89.02
Site moments in Bohr magnetons follow the coordinates.
Fractional positions:
Cd: 0.0000 0.5000 0.2464  0.01
Cd: 0.0001 0.0001 0.7508  0.01
Sm: 0.7355 0.2645 0.5000  0.15
Cd: 0.5000 0.0000 0.2464  0.01
Cd: 0.0000 0.5000 0.7536  0.01
Dy: 0.7468 0.7468 0.0000  0.11
Sm: 0.2569 0.2569 0.4999  0.12
Cd: 0.9999 0.9999 0.2492  0.01
Cd: 0.5000 0.0000 0.7536  0.01
Sm: 0.7431 0.7431 0.5001  0.12
Sm: 0.2645 0.7355 0.0000  0.12
Sm: 0.7355 0.2645 0.0000  0.12
Sm: 0.2645 0.7355 0.5000  0.15
Dy: 0.2532 0.2532 0.0000  0.11

Energy of formation: -0.1469 eV per atom
Final energy: -3.22 eV per atom
Crystal system: orthorhombic
M_tot: 0.90 μB/f.u.
DOS at the Fermi energy: 1.370 states/eV/atom

---

Density functional theory data (PBE-GGA) for SmDyCd after structural relaxation.

Lattice parameters (Å, degrees): 3.6065 5.2826 5.2826 120.00 90.00 90.00
Fractional positions:
Sm: 0.3741 0.3333 0.6667
Cd: 0.6915 0.6667 0.3333
Dy: 0.9344 0.0000 0.0000

Energy of formation: -0.0764 eV per atom
Final energy: -3.49 eV per atom
Crystal system: trigonal
M_tot: 0.00 μB/f.u.
Energy above the lowest structure with this stoichiometry: 119 meV per atom
DOS at the Fermi energy: 1.323 states/eV/atom

---

no.,calculated volume (Å³/cell)
1,328.8
2,413.6
3,87.2